The following is a GGA-PBE calculation of a geometry-optimized Pr2Dy3Bi2 structure, from Alexandria.

Calculated density, Mg/m³: 8.7
D(E_F), states/eV per atom: 1.27
Space group: No. 12
Formation energy from the elements, meV/atom: -484

```
7
Lattice="-0.846 -1.057 4.157 -0.134 -5.466 -3.715 8.417 1.748 2.157" Properties=species:S:1:pos:R:3 pbc="T T T"
Pr 0.956 -4.596 1.325
Pr 6.482 -0.178 1.273
Dy -0.423 -0.528 2.078
Dy 3.211 -1.235 2.638
Dy 4.227 -3.540 -0.040
Bi 5.932 -3.096 2.719
Bi 1.506 -1.679 -0.120
```

The following is a GGA-PBE calculation of a geometry-optimized PrDy2Bi structure, from Alexandria.

Calculated density, Mg/m³: 9.0
Offset from the most stable computed form, kJ/mol of formula units: 22
D(E_F), states/eV per atom: 1.12
Space group: No. 123
Formation energy from the elements, meV/atom: -349

```
4
Lattice="-1.972 -3.237 1.461 3.283 -1.024 2.161 -2.503 4.123 5.756" Properties=species:S:1:pos:R:3 pbc="T T T"
Pr 0.655 -2.131 1.811
Bi -0.596 -0.069 4.689
Dy -1.809 2.979 4.159
Dy -0.694 1.143 1.596
```

The following is a GGA-PBE calculation of a geometry-optimized Pr5DyBi6 structure, from Alexandria.

Calculated density, Mg/m³: 8.4
D(E_F), states/eV per atom: 0.17
Space group: No. 12
Formation energy from the elements, meV/atom: -939

```
12
Lattice="7.993 0.220 0.000 2.462 7.605 0.000 1.231 3.802 6.925" Properties=species:S:1:pos:R:3 pbc="T T T"
Pr 5.227 3.913 4.586
Pr 1.231 3.802 2.298
Pr 5.227 3.913 0.000
Pr 2.462 7.605 4.627
Pr 6.458 7.715 2.339
Dy 0.000 0.000 0.000
Bi 6.633 2.034 2.270
Bi 3.821 5.792 2.270
Bi 2.583 1.915 0.000
Bi 7.871 5.910 0.000
Bi 7.864 5.836 4.655
Bi 5.052 9.594 4.655
```

The following is a GGA-PBE calculation of a geometry-optimized PrDy2Bi structure, from Alexandria.

Calculated density, Mg/m³: 8.3
Offset from the most stable computed form, kJ/mol of formula units: 166
D(E_F), states/eV per atom: 0.79
Space group: No. 166
Formation energy from the elements, meV/atom: 24

```
4
Lattice="-3.346 1.201 -0.432 -2.604 -1.130 2.183 0.346 9.228 8.125" Properties=species:S:1:pos:R:3 pbc="T T T"
Pr -2.802 4.650 4.938
Bi 0.000 0.000 0.000
Dy -0.259 6.836 6.166
Dy -5.344 2.463 3.711
```

What is the formation energy from the elements in the second record? -349 meV/atom

What did the third record say?
The following is a GGA-PBE calculation of a geometry-optimized Pr5DyBi6 structure, from Alexandria.

Calculated density, Mg/m³: 8.4
D(E_F), states/eV per atom: 0.17
Space group: No. 12
Formation energy from the elements, meV/atom: -939

```
12
Lattice="7.993 0.220 0.000 2.462 7.605 0.000 1.231 3.802 6.925" Properties=species:S:1:pos:R:3 pbc="T T T"
Pr 5.227 3.913 4.586
Pr 1.231 3.802 2.298
Pr 5.227 3.913 0.000
Pr 2.462 7.605 4.627
Pr 6.458 7.715 2.339
Dy 0.000 0.000 0.000
Bi 6.633 2.034 2.270
Bi 3.821 5.792 2.270
Bi 2.583 1.915 0.000
Bi 7.871 5.910 0.000
Bi 7.864 5.836 4.655
Bi 5.052 9.594 4.655
```

formation energy from the elements of number 2 (PrDy2Bi)? -349 meV/atom

What is the formula in the first record? Pr2Dy3Bi2